{
  "formula": "TaPdW2O",
  "functional": "PBE+U",
  "state": "optimized geometry",
  "dos_ef_per_ev_cell": 3.183,
  "final_energy_ev_per_atom": -4.96,
  "rho_g_cm3": 8.90,
  "lattice_angstrom": [[5.166, 0.000, 0.000], [0.000, 5.166, 0.000], [0.000, 0.000, 4.693]],
  "species": ["Ta", "Pd", "W", "W", "O"],
  "frac_coords": [[0.000, 0.000, 0.000], [0.000, 0.000, 0.500], [0.000, 0.500, 0.000], [0.500, 0.000, 0.000], [0.500, 0.500, 0.500]]
}